The following is a PBE-GGA calculation of Na5B7C3 after structural relaxation, from Alexandria via LeMat-Bulk.

Unit cell a=8.562 b=12.954 c=12.954 alpha=12.52 beta=90.00 gamma=90.00
Fractional positions:
Na 0.244 0.000 0.000
Na 0.246 0.399 0.399
Na 0.247 0.800 0.800
Na 0.248 0.202 0.202
Na 0.248 0.602 0.602
Na 0.752 0.202 0.202
Na 0.752 0.602 0.602
Na 0.753 0.800 0.800
Na 0.754 0.399 0.399
Na 0.756 0.000 0.000
B 0.000 0.074 0.074
B 0.000 0.267 0.267
B 0.000 0.461 0.461
B 0.000 0.533 0.533
B 0.000 0.670 0.670
B 0.000 0.864 0.864
B 0.500 0.071 0.071
B 0.500 0.135 0.135
B 0.500 0.333 0.333
B 0.500 0.465 0.465
B 0.500 0.528 0.528
B 0.500 0.675 0.675
B 0.500 0.742 0.742
B 0.500 0.924 0.924
C 0.000 0.138 0.138
C 0.000 0.332 0.332
C 0.000 0.735 0.735
C 0.000 0.929 0.929
C 0.500 0.271 0.271
C 0.500 0.864 0.864

Density ... 2.4 Mg/m³
Magnetic moment ... 0.00 μB per atom
DFT formation energy ... 0.127 eV/atom